PBE Cd2SiP, relaxed; V = 20.43 Å³ per atom; energy relative to the lowest polymorph listed for this composition = 0 meV/atom; M_tot = 0.000 μB per atom; SG = R3m (160); mass density = 5.77 g/cm3; formation energy (no corrections) = 0.065 eV/atom
1.0
3.493 0.000 0.000
-1.747 3.025 0.000
0.000 0.000 23.192
Cd Si P
6 3 3
Direct
0.000 0.000 0.000
0.000 0.000 0.235
0.333 0.667 0.667
0.333 0.667 0.901
0.667 0.333 0.333
0.667 0.333 0.568
0.000 0.000 0.758
0.333 0.667 0.424
0.667 0.333 0.091
0.000 0.000 0.474
0.333 0.667 0.141
0.667 0.333 0.808